1.
Material: Y5Tl
Method: DFT, PBE
State: optimized geometry

As for the energy above the most stable polymorph in this dataset: 0.059 eV/atom. The value obtained for the formation energy is -0.0584 eV per atom.

It has space group P-62m (No. 189), with a = 6.1630 Å, b = 6.1630 Å, c = 5.5761 Å, α = 90.00°, β = 90.00° and γ = 120.00°. The inequivalent atoms are Y at (0.0000, 0.6845, 0.0000), Y at (0.3333, 0.6667, 0.5000) and Tl at (0.0000, 0.0000, 0.5000).

***

2.
Material: Y3Tl
Method: DFT, PBE
State: optimized geometry

The value obtained for the formation energy is -0.1878 eV per atom.

It has space group P6_3/mmc (No. 194), with a = 6.8897 Å, b = 6.8897 Å, c = 5.6800 Å, α = 90.00°, β = 90.00° and γ = 120.00°. The inequivalent atoms are Y at (0.1700, 0.3400, 0.2500) and Tl at (0.3333, 0.6667, 0.7500).

***

3.
Material: Y2Tl
Method: DFT, PBE
State: optimized geometry

The value obtained for the formation energy is -0.1396 eV per atom.

It has space group Cmcm (No. 63), with a = 3.660 Å, b = 17.432 Å, c = 5.712 Å, α = 90.00°, β = 90.00° and γ = 90.00°. The inequivalent atoms are Y at (0.000, 0.054, 0.250), Y at (0.000, 0.380, 0.250) and Tl at (0.000, 0.281, 0.750).

***

4.
Material: Y2Tl
Method: DFT, PBE
State: optimized geometry

The value obtained for the formation energy is -0.1643 eV per atom.

It has space group P-3m1 (No. 164), with a = 5.2562 Å, b = 5.2562 Å, c = 3.7226 Å, α = 90.00°, β = 90.00° and γ = 120.00°. The inequivalent atoms are Y at (0.3333, 0.6667, 0.2691) and Tl at (0.0000, 0.0000, 0.0000).

***

5.
Material: Y3Tl
Method: DFT, PBE
State: optimized geometry

The value obtained for the formation energy is -0.0985 eV per atom.

It has space group P-6m2 (No. 187), with a = 3.5970 Å, b = 3.5970 Å, c = 11.0297 Å, α = 90.00°, β = 90.00° and γ = 120.00°. The inequivalent atoms are Y at (0.0000, 0.0000, 0.0000), Y at (0.6667, 0.3333, 0.2609) and Tl at (0.0000, 0.0000, 0.5000).

***

6.
Material: Y3Tl4
Method: DFT, PBE
State: optimized geometry

As for the energy above the most stable polymorph in this dataset: 0.000 eV/atom. The value obtained for the formation energy is -0.3399 eV per atom.

It has space group R-3 (No. 148, hexagonal axes), with a = 14.2851 Å, b = 14.2851 Å, c = 6.5187 Å, α = 90.00°, β = 90.00° and γ = 120.00°. The inequivalent atoms are Y at (0.0471, 0.8279, 0.2177), Tl at (0.0000, 0.0000, 0.0000), Tl at (0.0000, 0.0000, 0.5000) and Tl at (0.0535, 0.7953, 0.6970).

***

7.
Material: Y3Tl
Method: DFT, PBE
State: optimized geometry

The value obtained for the formation energy is -0.1709 eV per atom.

It has space group Pmmn (No. 59, origin choice 2), with a = 5.503 Å, b = 6.674 Å, c = 6.358 Å, α = 90.00°, β = 90.00° and γ = 90.00°. The inequivalent atoms are Y at (0.250, 0.006, 0.143), Y at (0.250, 0.250, 0.626) and Tl at (0.250, 0.750, 0.661).

***

8.
Material: Y5Tl
Method: DFT, PBE
State: optimized geometry

As for the energy above the most stable polymorph in this dataset: 0.017 eV/atom. The value obtained for the formation energy is -0.1011 eV per atom.

It has space group Amm2 (No. 38), with a = 5.542 Å, b = 3.622 Å, c = 18.377 Å, α = 90.00°, β = 90.00° and γ = 90.00°. The inequivalent atoms are Y at (0.000, 0.000, 0.000), Y at (0.000, 0.000, 0.324), Y at (0.000, 0.000, 0.666), Y at (0.500, 0.000, 0.115), Y at (0.500, 0.000, 0.445) and Tl at (0.500, 0.000, 0.775).

***

9.
Material: Y4Tl5
Method: DFT, PBE
State: optimized geometry

As for the energy above the most stable polymorph in this dataset: 0.000 eV/atom. The value obtained for the formation energy is -0.3215 eV per atom.

It has space group P6_3/mcm (No. 193), with a = 9.3628 Å, b = 9.3628 Å, c = 6.5975 Å, α = 90.00°, β = 90.00° and γ = 120.00°. The inequivalent atoms are Y at (0.0000, 0.0000, 0.0000), Y at (0.0000, 0.3696, 0.2500), Tl at (0.0000, 0.2977, 0.7500) and Tl at (0.3333, 0.6667, 0.0000).

***

10.
Material: Y5Tl
Method: DFT, PBE
State: optimized geometry

As for the energy above the most stable polymorph in this dataset: 0.569 eV/atom. The value obtained for the formation energy is 0.4517 eV per atom.

It has space group P6/mmm (No. 191), with a = 6.4660 Å, b = 6.4660 Å, c = 5.8234 Å, α = 90.00°, β = 90.00° and γ = 120.00°. The inequivalent atoms are Y at (0.0000, 0.5000, 0.0000), Y at (0.3333, 0.6667, 0.5000) and Tl at (0.0000, 0.0000, 0.5000).

***

11.
Material: Y2TlZn
Method: DFT, PBE
State: optimized geometry

The value obtained for the formation energy is -0.1557 eV per atom.

It has space group Pmm2 (No. 25), with a = 3.623 Å, b = 4.765 Å, c = 6.280 Å, α = 90.00°, β = 90.00° and γ = 90.00°. The inequivalent atoms are Y at (0.000, 0.000, 0.000), Y at (0.500, 0.500, 0.341), Tl at (0.500, 0.500, 0.827) and Zn at (0.000, 0.000, 0.490).

***

12.
Material: Y3TlZn
Method: DFT, PBE
State: optimized geometry

As for the energy above the most stable polymorph in this dataset: 0.343 eV/atom. The value obtained for the formation energy is 0.0684 eV per atom.

It has space group Pm-3m (No. 221), with a = 5.395 Å, b = 5.395 Å, c = 5.395 Å, α = 90.00°, β = 90.00° and γ = 90.00°. The inequivalent atoms are Y at (0.000, 0.000, 0.500), Tl at (0.500, 0.500, 0.500) and Zn at (0.000, 0.000, 0.000).

***

13.
Material: Y2TlZn2
Method: DFT, PBE
State: optimized geometry

The value obtained for the formation energy is -0.0284 eV per atom.

It has space group I4/mmm (No. 139), with a = 5.611 Å, b = 5.611 Å, c = 8.224 Å, α = 90.00°, β = 90.00° and γ = 90.00°. The inequivalent atoms are Y at (0.000, 0.500, 0.250), Tl at (0.000, 0.000, 0.000) and Zn at (0.000, 0.000, 0.358).

***

14.
Material: Y6Tl5Zn
Method: DFT, PBE
State: optimized geometry

The value obtained for the formation energy is -0.3723 eV per atom.

It has space group P2/m (No. 10), with a = 5.345 Å, b = 7.483 Å, c = 8.446 Å, α = 90.00°, β = 108.36° and γ = 90.00°. The inequivalent atoms are Y at (0.000, 0.243, 0.000), Y at (0.337, 0.245, 0.674), Tl at (0.165, 0.000, 0.330), Tl at (0.168, 0.500, 0.336), Tl at (0.500, 0.500, 0.000) and Zn at (0.500, 0.000, 0.000).

***

15.
Material: Y5TlZn2
Method: DFT, PBE
State: optimized geometry

The value obtained for the formation energy is -0.2873 eV per atom.

It has space group I4/mcm (No. 140), with a = 8.128 Å, b = 8.128 Å, c = 12.976 Å, α = 90.00°, β = 90.00° and γ = 90.00°. The inequivalent atoms are Y at (0.000, 0.000, 0.000), Y at (0.155, 0.345, 0.146), Tl at (0.000, 0.000, 0.250) and Zn at (0.137, 0.363, 0.500).

***

16.
Material: Y2TlZn
Method: DFT, PBE
State: optimized geometry

The value obtained for the formation energy is -0.3618 eV per atom.

It has space group Fm-3m (No. 225), with a = 7.403 Å, b = 7.403 Å, c = 7.403 Å, α = 90.00°, β = 90.00° and γ = 90.00°. The inequivalent atoms are Y at (0.250, 0.250, 0.250), Tl at (0.000, 0.000, 0.000) and Zn at (0.000, 0.000, 0.500).

***

17.
Material: Y5Tl2Zn
Method: DFT, PBE
State: optimized geometry

The value obtained for the formation energy is -0.3124 eV per atom.

It has space group Pbam (No. 55), with a = 6.791 Å, b = 12.909 Å, c = 5.038 Å, α = 90.00°, β = 90.00° and γ = 90.00°. The inequivalent atoms are Y at (0.000, 0.000, 0.000), Y at (0.119, 0.279, 0.000), Y at (0.172, 0.598, 0.500), Tl at (0.132, 0.850, 0.500) and Zn at (0.000, 0.500, 0.000).

***

18.
Material: YTlZn3
Method: DFT, PBE
State: optimized geometry

As for the energy above the most stable polymorph in this dataset: 0.219 eV/atom. The value obtained for the formation energy is 0.7020 eV per atom.

It has space group Pm-3m (No. 221), with a = 5.620 Å, b = 5.620 Å, c = 5.620 Å, α = 90.00°, β = 90.00° and γ = 90.00°. The inequivalent atoms are Y at (0.000, 0.000, 0.000), Tl at (0.500, 0.500, 0.500) and Zn at (0.000, 0.000, 0.500).

***

19.
Material: Y3Tl3Zn
Method: DFT, PBE
State: optimized geometry

The value obtained for the formation energy is -0.3302 eV per atom.

It has space group C2/m (No. 12), with a = 11.361 Å, b = 4.592 Å, c = 15.088 Å, α = 90.00°, β = 109.05° and γ = 90.00°. The inequivalent atoms are Y at (0.030, 0.000, 0.380), Y at (0.098, 0.000, 0.920), Y at (0.236, 0.000, 0.227), Tl at (0.015, 0.500, 0.233), Tl at (0.128, 0.500, 0.075), Tl at (0.145, 0.500, 0.539) and Zn at (0.242, 0.500, 0.375).

***

20.
Material: Y2TlZn2
Method: DFT, PBE
State: optimized geometry

The value obtained for the formation energy is -0.1472 eV per atom.

It has space group I4/mmm (No. 139), with a = 3.650 Å, b = 3.650 Å, c = 18.595 Å, α = 90.00°, β = 90.00° and γ = 90.00°. The inequivalent atoms are Y at (0.000, 0.000, 0.111), Tl at (0.000, 0.000, 0.500) and Zn at (0.000, 0.500, 0.250).